Record 1
A plane-wave DFT calculation with GGA-PBE was carried out for a relaxed Pr2ScHg2 crystal.

CIF file:
```
data_Pr2ScHg2
_chemical_formula_sum 'Pr4 Sc2 Hg4'
_symmetry_space_group_name_H-M 'I m m m'
_symmetry_Int_Tables_number 71
_symmetry_space_group_name_Hall '-I 2 2'
_cell_length_a 3.8742
_cell_length_b 7.2233
_cell_length_c 10.2419
_cell_angle_alpha 90.00
_cell_angle_beta 90.00
_cell_angle_gamma 90.00
loop_
_atom_site_label
_atom_site_type_symbol
_atom_site_fract_x
_atom_site_fract_y
_atom_site_fract_z
Pr1 Pr 0.0000 0.0000 0.2169
Sc1 Sc 0.0000 0.5000 0.0000
Hg1 Hg 0.0000 0.2902 0.5000
```

Summary:
- E: -36.123 eV/cell
- Crystal system: orthorhombic

=====

Record 2
A plane-wave DFT calculation with GGA-PBE was carried out for a relaxed LiPm5Tl4 crystal.

CIF file:
```
data_LiPm5Tl4
_chemical_formula_sum 'Li1 Pm5 Tl4'
_symmetry_space_group_name_H-M 'P 4/m m m'
_symmetry_Int_Tables_number 123
_symmetry_space_group_name_Hall '-P 4 2'
_cell_length_a 3.7295
_cell_length_b 3.7295
_cell_length_c 20.6434
_cell_angle_alpha 90.00
_cell_angle_beta 90.00
_cell_angle_gamma 90.00
loop_
_atom_site_label
_atom_site_type_symbol
_atom_site_fract_x
_atom_site_fract_y
_atom_site_fract_z
Li1 Li 0.0000 0.0000 0.0000
Pm1 Pm 0.5000 0.5000 0.0952
Pm2 Pm 0.5000 0.5000 0.2960
Pm3 Pm 0.5000 0.5000 0.5000
Tl1 Tl 0.0000 0.0000 0.1913
Tl2 Tl 0.0000 0.0000 0.3976
```

Summary:
- E: -38.129 eV/cell
- Crystal system: tetragonal